[1]
## IrRuSe4 (PBE)

Data for IrRuSe4 after structural relaxation.

Summary:
energy relative to the elements, uncorrected	-0.328	eV/atom
density of states at the Fermi level	7.20	states/eV/cell
calculated total energy	-5.67	eV/atom
space group	P2_1/c (14)
M_tot	0.00	μB/f.u.
excess energy over the best structure of this formula in the dataset	0.000	eV/atom

Cell: 7.156 5.007 7.161 Å, 90.00 115.14 90.00°
Element x y z (fractional)
Ir  0.000  0.000  0.000
Ir  0.000  0.500  0.500
Ru  0.500  0.000  0.500
Ru  0.500  0.500  0.000
Se  0.188  0.218  0.815
Se  0.188  0.282  0.315
Se  0.318  0.721  0.186
Se  0.318  0.779  0.686
Se  0.682  0.221  0.314
Se  0.682  0.279  0.814
Se  0.812  0.718  0.685
Se  0.812  0.782  0.185


[2]
## SbSe2ClO (PBE)

Data for SbSe2ClO after structural relaxation.

Summary:
energy relative to the elements, uncorrected	0.172	eV/atom
density of states at the Fermi level	3.86	states/eV/cell
calculated total energy	-3.41	eV/atom
space group	P4/mmm (123)
M_tot	2.59	μB/f.u.

Cell: 5.491 5.491 3.989 Å, 90.00 90.00 90.00°
Element x y z (fractional)
Sb  0.000  0.000  0.000
Se  0.000  0.500  0.000
Se  0.500  0.000  0.000
Cl  0.500  0.500  0.500
O  0.000  0.000  0.500


[3]
## Hf3MnRu4 (PBE)

Data for Hf3MnRu4 after structural relaxation.

Summary:
density of states at the Fermi level	3.94	states/eV/cell
calculated total energy	-10.09	eV/atom
energy relative to the elements	-55.4	kJ/mol of atoms
space group	P4/mmm (123)
M_tot	3.82	μB/f.u.

Cell: 3.216 3.216 12.598 Å, 90.00 90.00 90.00°
Element x y z (fractional)
Hf  0.000  0.000  0.000
Hf  0.000  0.000  0.261
Hf  0.000  0.000  0.739
Mn  0.000  0.000  0.500
Ru  0.500  0.500  0.128
Ru  0.500  0.500  0.385
Ru  0.500  0.500  0.615
Ru  0.500  0.500  0.872


[4]
## LaInW2 (PBE)

Data for LaInW2 after structural relaxation.

Summary:
density of states at the Fermi level	14.35	states/eV/cell
calculated total energy	-7.48	eV/atom
energy relative to the elements	87.9	kJ/mol of atoms
space group	R-3m (166)
M_tot	0.23	μB/f.u.

Cell: 2.999 2.999 31.712 Å, 90.00 90.00 120.00°
Element x y z (fractional)
La  0.000  0.000  0.000
La  0.333  0.667  0.667
La  0.667  0.333  0.333
In  0.000  0.000  0.500
In  0.333  0.667  0.167
In  0.667  0.333  0.833
W  0.000  0.000  0.242
W  0.000  0.000  0.758
W  0.333  0.667  0.425
W  0.333  0.667  0.909
W  0.667  0.333  0.091
W  0.667  0.333  0.575